Record 1
DFT (PBE-GGA) results for an optimized crystal structure of TbMnTcGe2.

Results
- DFT total energy: -7.161 eV per atom
- Size of the total moment: 2.87 Bohr magnetons per cell

Lattice parameters (Å, degrees): 6.156 6.156 6.156 141.69 141.69 55.29
Fractional coordinates of all 5 atoms:
1 Tb 0.000 0.000 0.000
2 Mn 0.250 0.750 0.500
3 Tc 0.750 0.250 0.500
4 Ge 0.383 0.383 0.000
5 Ge 0.617 0.617 0.000

***

Record 2
DFT (PBE-GGA) results for an optimized crystal structure of TbAlOs.

Results
- DFT total energy: -6.847 eV per atom
- Size of the total moment: 0.00 Bohr magnetons per cell

Lattice parameters (Å, degrees): 5.801 5.801 5.801 147.11 147.11 47.20
Fractional coordinates of all 3 atoms:
1 Tb 0.000 0.000 0.000
2 Al 0.284 0.284 0.000
3 Os 0.677 0.677 0.000

***

Record 3
DFT (PBE-GGA) results for an optimized crystal structure of HoGa4Pd6.

Results
- DFT total energy: -5.101 eV per atom
- Distance to the lowest polymorph of the same formula: 0 meV per atom
- Size of the total moment: 0.00 Bohr magnetons per cell

Lattice parameters (Å, degrees): 7.382 7.382 3.868 90.00 90.00 120.00
Fractional coordinates of all 11 atoms:
1 Ho 0.000 0.000 0.000
2 Ga 0.333 0.667 0.000
3 Ga 0.396 0.198 0.500
4 Ga 0.802 0.198 0.500
5 Ga 0.802 0.604 0.500
6 Pd 0.196 0.392 0.500
7 Pd 0.196 0.804 0.500
8 Pd 0.533 0.067 0.000
9 Pd 0.533 0.467 0.000
10 Pd 0.608 0.804 0.500
11 Pd 0.933 0.467 0.000

***

Number 1: ΔH_f (0 K) -0.480 eV/atom. Number 2: ΔH_f (0 K) -0.313 eV/atom. Number 3: ΔH_f (0 K) -0.752 eV/atom.